The following is a DFT calculation (PBE) of a geometry-optimized Pm2HoZn6 structure.

```
data_Pm2HoZn6
_symmetry_space_group_name_H-M 'P 6/m m m'
_symmetry_Int_Tables_number 191
_symmetry_space_group_name_Hall '-P 6 2'
_cell_length_a 7.8434
_cell_length_b 7.8434
_cell_length_c 3.5535
_cell_angle_alpha 90.00
_cell_angle_beta 90.00
_cell_angle_gamma 120.00
loop_
_atom_site_label
_atom_site_fract_x
_atom_site_fract_y
_atom_site_fract_z
Pm1 0.3333 0.6667 0.0000
Ho1 0.0000 0.0000 0.0000
Zn1 0.0000 0.3301 0.5000
```

Energy of formation = -0.3624 eV per atom
E = -25.0 eV per cell

=====

The following is a DFT calculation (PBE) of a geometry-optimized KSrSi4 structure.

```
data_KSrSi4
_symmetry_space_group_name_H-M 'C m m m'
_symmetry_Int_Tables_number 65
_symmetry_space_group_name_Hall '-C 2 2'
_cell_length_a 8.920
_cell_length_b 13.238
_cell_length_c 5.161
_cell_angle_alpha 90.00
_cell_angle_beta 90.00
_cell_angle_gamma 90.00
loop_
_atom_site_label
_atom_site_fract_x
_atom_site_fract_y
_atom_site_fract_z
K1 0.186 0.000 0.000
Sr1 0.000 0.280 0.000
Si1 0.000 0.091 0.500
Si2 0.127 0.500 0.500
Si3 0.246 0.159 0.500
```

Formation energy (no corrections) = 0.02 eV/atom
Energy relative to the lowest polymorph listed for this composition = 0.000 eV/atom
E = -97.5 eV per cell

=====

The following is a DFT calculation (PBE) of a geometry-optimized BC3 structure.

```
data_BC3
_symmetry_space_group_name_H-M 'C 1 m 1'
_symmetry_Int_Tables_number 8
_cell_length_a 11.664
_cell_length_b 2.578
_cell_length_c 5.143
_cell_angle_alpha 90.00
_cell_angle_beta 101.73
_cell_angle_gamma 90.00
loop_
_symmetry_equiv_pos_as_xyz
'x,y,z'
'x,-y,z'
'x+1/2,y+1/2,z'
'x+1/2,-y+1/2,z'
loop_
_atom_site_label
_atom_site_fract_x
_atom_site_fract_y
_atom_site_fract_z
B1 0.000 0.000 0.000
B2 0.110 0.000 0.407
B3 0.256 0.500 0.179
C1 0.003 0.000 0.551
C2 0.103 0.000 0.843
C3 0.179 0.500 0.881
C4 0.182 0.500 0.402
C5 0.264 0.500 0.683
C6 0.342 0.000 0.719
C7 0.354 0.000 0.224
C8 0.423 0.000 0.010
C9 0.426 0.000 0.512
```

Energy of formation = 0.3123 eV per atom
Energy relative to the lowest polymorph listed for this composition = 0.072 eV/atom
E = -198.6 eV per cell

=====

The following is a DFT calculation (PBE) of a geometry-optimized Al2CoTc structure.

```
data_Al2CoTc
_symmetry_space_group_name_H-M 'P m m a'
_symmetry_Int_Tables_number 51
_cell_length_a 4.216
_cell_length_b 2.948
_cell_length_c 8.382
_cell_angle_alpha 90.00
_cell_angle_beta 90.00
_cell_angle_gamma 90.00
loop_
_symmetry_equiv_pos_as_xyz
'x,y,z'
'-x,-y,-z'
'-x+1/2,-y,z'
'x+1/2,y,-z'
'x+1/2,-y,-z'
'-x+1/2,y,z'
'-x,y,-z'
'x,-y,z'
loop_
_atom_site_label
_atom_site_fract_x
_atom_site_fract_y
_atom_site_fract_z
Al1 0.250 0.000 0.122
Al2 0.250 0.000 0.650
Co1 0.250 0.500 0.886
Tc1 0.250 0.500 0.387
```

Energy of formation = -0.4204 eV per atom
Energy relative to the lowest polymorph listed for this composition = 0.000 eV/atom
E = -53.3 eV per cell

=====

The following is a DFT calculation (PBE) of a geometry-optimized Ca2ErGa3Pd4 structure.

```
data_Ca2ErGa3Pd4
_symmetry_space_group_name_H-M 'P -4 m 2'
_symmetry_Int_Tables_number 115
_cell_length_a 4.293
_cell_length_b 4.293
_cell_length_c 11.217
_cell_angle_alpha 90.00
_cell_angle_beta 90.00
_cell_angle_gamma 90.00
loop_
_symmetry_equiv_pos_as_xyz
'x,y,z'
'y,-x,-z'
'-x,-y,z'
'-y,x,-z'
'-x,y,z'
'-y,-x,-z'
'x,-y,z'
'y,x,-z'
loop_
_atom_site_label
_atom_site_fract_x
_atom_site_fract_y
_atom_site_fract_z
Ca1 0.000 0.500 0.228
Er1 0.000 0.000 0.500
Ga1 0.000 0.500 0.878
Ga2 0.500 0.500 0.500
Pd1 0.000 0.000 0.000
Pd2 0.000 0.500 0.655
Pd3 0.500 0.500 0.000
```

Energy of formation = -0.7440 eV per atom
E = -45.9 eV per cell

=====

The following is a DFT calculation (PBE) of a geometry-optimized Y3InNi structure.

```
data_Y3InNi
_symmetry_space_group_name_H-M 'P m -3 m'
_symmetry_Int_Tables_number 221
_symmetry_space_group_name_Hall '-P 4 2 3'
_cell_length_a 5.209
_cell_length_b 5.209
_cell_length_c 5.209
_cell_angle_alpha 90.00
_cell_angle_beta 90.00
_cell_angle_gamma 90.00
loop_
_atom_site_label
_atom_site_fract_x
_atom_site_fract_y
_atom_site_fract_z
Y1 0.000 0.000 0.500
In1 0.500 0.500 0.500
Ni1 0.000 0.000 0.000
```

Energy of formation = -0.2181 eV per atom
Energy relative to the lowest polymorph listed for this composition = 0.000 eV/atom
E = -29.0 eV per cell